DFT (PBE-GGA) results for LiTa2Pd8 after structural relaxation.

**E_form**: -4.02 eV per formula unit
**Crystal system**: orthorhombic

Cell lengths 7.534, 7.534, 7.534 Å; angles 145.38, 135.03, 57.97 degrees
Sites, in units of the cell vectors:
Li1 0.000 0.000 0.000
Ta1 0.314 0.314 0.000
Ta2 0.686 0.686 0.000
Pd1 0.125 0.864 0.261
Pd2 0.181 0.681 0.500
Pd3 0.262 0.500 0.762
Pd4 0.397 0.136 0.261
Pd5 0.603 0.864 0.739
Pd6 0.738 0.500 0.238
Pd7 0.819 0.319 0.500
Pd8 0.875 0.136 0.739



DFT (PBE-GGA) results for Pm2Al3Ag5 after structural relaxation.

**E_form**: -2.72 eV per formula unit
**Crystal system**: orthorhombic

Cell lengths 8.861, 8.861, 8.861 Å; angles 101.28, 92.64, 139.32 degrees
Sites, in units of the cell vectors:
Pm1 0.132 0.232 0.364
Pm2 0.368 0.732 0.100
Pm3 0.632 0.268 0.900
Pm4 0.868 0.768 0.636
Al1 0.132 0.879 0.011
Al2 0.250 0.750 0.500
Al3 0.368 0.379 0.747
Al4 0.632 0.621 0.253
Al5 0.750 0.250 0.500
Al6 0.868 0.121 0.989
Ag1 0.015 0.750 0.265
Ag2 0.105 0.655 0.760
Ag3 0.250 0.250 0.000
Ag4 0.395 0.155 0.550
Ag5 0.485 0.750 0.735
Ag6 0.515 0.250 0.265
Ag7 0.605 0.845 0.450
Ag8 0.750 0.750 0.000
Ag9 0.895 0.345 0.240
Ag10 0.985 0.250 0.735



DFT (PBE-GGA) results for SrCoCu3Se4 after structural relaxation.

**E_form (uncorrected)**: -0.41 eV/atom
**Crystal system**: cubic

Cell lengths 6.016, 6.016, 6.016 Å; angles 90.00, 90.00, 90.00 degrees
Sites, in units of the cell vectors:
Sr1 0.000 0.000 0.000
Co1 0.500 0.500 0.500
Cu1 0.000 0.500 0.500
Cu2 0.500 0.000 0.500
Cu3 0.500 0.500 0.000
Se1 0.276 0.276 0.724
Se2 0.276 0.724 0.276
Se3 0.724 0.276 0.276
Se4 0.724 0.724 0.724



DFT (PBE-GGA) results for Cs8Na2Pt after structural relaxation.

**E_form**: 0.01 eV per formula unit
**Crystal system**: monoclinic

Cell lengths 9.415, 9.415, 11.922 Å; angles 100.90, 100.90, 61.83 degrees
Sites, in units of the cell vectors:
Cs1 0.189 0.709 0.793
Cs2 0.199 0.199 0.950
Cs3 0.291 0.811 0.207
Cs4 0.335 0.335 0.409
Cs5 0.665 0.665 0.591
Cs6 0.709 0.189 0.793
Cs7 0.801 0.801 0.050
Cs8 0.811 0.291 0.207
Na1 0.113 0.113 0.567
Na2 0.887 0.887 0.433
Pt1 0.000 0.000 0.000



DFT (PBE-GGA) results for ZrNb2S6 after structural relaxation.

**E_form (uncorrected)**: -0.89 eV/atom
**Crystal system**: monoclinic

Cell lengths 6.571, 6.571, 8.830 Å; angles 119.04, 119.04, 39.06 degrees
Sites, in units of the cell vectors:
Zr1 0.000 0.000 0.000
Nb1 0.144 0.144 0.582
Nb2 0.856 0.856 0.418
S1 0.031 0.031 0.729
S2 0.296 0.296 0.448
S3 0.357 0.357 0.882
S4 0.643 0.643 0.118
S5 0.704 0.704 0.552
S6 0.969 0.969 0.271



DFT (PBE-GGA) results for La4Al2N after structural relaxation.

**Offset from the most stable computed form**: 196 meV per atom
**E_form (uncorrected)**: -0.33 eV/atom
**Crystal system**: orthorhombic

Cell lengths 12.410, 12.410, 3.499 Å; angles 90.00, 90.00, 156.54 degrees
Sites, in units of the cell vectors:
La1 0.068 0.932 0.000
La2 0.206 0.794 0.500
La3 0.794 0.206 0.500
La4 0.932 0.068 0.000
Al1 0.336 0.664 0.000
Al2 0.664 0.336 0.000
N1 0.000 0.000 0.500



DFT (PBE-GGA) results for CaAlSi2As after structural relaxation.

**Offset from the most stable computed form**: 713 meV per atom
**E_form (uncorrected)**: 1.24 eV/atom
**Crystal system**: tetragonal

Cell lengths 5.286, 5.286, 5.279 Å; angles 90.00, 90.00, 90.00 degrees
Sites, in units of the cell vectors:
Ca1 0.000 0.000 0.000
Al1 0.500 0.500 0.500
Si1 0.000 0.500 0.000
Si2 0.500 0.000 0.000
As1 0.000 0.000 0.500



DFT (PBE-GGA) results for Cs5Rb2Pb4 after structural relaxation.

**E_form**: -0.33 eV per formula unit
**Crystal system**: monoclinic

Cell lengths 9.668, 9.668, 10.879 Å; angles 110.59, 110.59, 49.45 degrees
Sites, in units of the cell vectors:
Cs1 0.000 0.000 0.000
Cs2 0.143 0.642 0.578
Cs3 0.358 0.857 0.422
Cs4 0.642 0.143 0.578
Cs5 0.857 0.358 0.422
Rb1 0.247 0.247 0.887
Rb2 0.753 0.753 0.113
Pb1 0.236 0.236 0.249
Pb2 0.404 0.404 0.259
Pb3 0.596 0.596 0.741
Pb4 0.764 0.764 0.751



DFT (PBE-GGA) results for SrTl2HgRh after structural relaxation.

**Offset from the most stable computed form**: 55 meV per atom
**E_form**: -0.77 eV per formula unit
**Crystal system**: tetragonal

Cell lengths 5.245, 5.245, 5.357 Å; angles 90.00, 90.00, 90.00 degrees
Sites, in units of the cell vectors:
Sr1 0.000 0.000 0.000
Tl1 0.000 0.500 0.500
Tl2 0.500 0.000 0.500
Hg1 0.500 0.500 0.000
Rh1 0.500 0.500 0.500



DFT (PBE-GGA) results for Cs2KRb3F6 after structural relaxation.

**E_form (uncorrected)**: -2.66 eV/atom
**Crystal system**: monoclinic

Cell lengths 9.165, 9.165, 8.256 Å; angles 102.94, 102.94, 25.91 degrees
Sites, in units of the cell vectors:
Cs1 0.165 0.165 0.327
Cs2 0.835 0.835 0.673
K1 0.500 0.500 0.000
Rb1 0.164 0.164 0.837
Rb2 0.500 0.500 0.500
Rb3 0.836 0.836 0.163
F1 0.002 0.002 0.762
F2 0.338 0.338 0.406
F3 0.339 0.339 0.930
F4 0.661 0.661 0.070
F5 0.662 0.662 0.594
F6 0.998 0.998 0.238



DFT (PBE-GGA) results for CsRbZnHSe after structural relaxation.

**Offset from the most stable computed form**: 121 meV per atom
**Crystal system**: monoclinic

Cell lengths 5.021, 6.215, 7.658 Å; angles 90.00, 108.64, 90.00 degrees
Sites, in units of the cell vectors:
Cs1 0.000 0.000 0.000
Rb1 0.342 0.500 0.683
Zn1 0.736 0.000 0.476
H1 0.937 0.500 0.880
Se1 0.245 0.000 0.494



DFT (PBE-GGA) results for Ba2TaOs after structural relaxation.

**Offset from the most stable computed form**: 1053 meV per atom
**E_form**: 5.44 eV per formula unit
**Crystal system**: monoclinic

Cell lengths 3.217, 5.524, 5.916 Å; angles 90.00, 101.80, 90.00 degrees
Sites, in units of the cell vectors:
Ba1 0.106 0.000 0.259
Ba2 0.894 0.000 0.741
Ta1 0.500 0.500 0.000
Os1 0.500 0.500 0.500



| no. | DOS at the Fermi energy (states/eV per atom) | calculated volume (Å³/cell) | DFT total energy (eV per atom) |
| --- | --- | --- | --- |
| 1 | 0.344 | 170.3 | -6.47 |
| 2 | 0.648 | 423.7 | -3.77 |
| 3 | 0.939 | 217.8 | -4.30 |
| 4 | 0.757 | 908.8 | -1.41 |
| 5 | 0.243 | 206.0 | -6.83 |
| 6 | 0.761 | 214.5 | -5.40 |
| 7 | 0.629 | 147.5 | -3.01 |
| 8 | 1.052 | 712.3 | -1.94 |
| 9 | 0.533 | 147.4 | -2.97 |
| 10 | 0.000 | 295.0 | -4.07 |
| 11 | 0.261 | 226.5 | -2.33 |
| 12 | 1.076 | 102.9 | -5.37 |